Record 1
This record from Alexandria via LeMat-Bulk describes Tm5Ru2Pb after structural relaxation. The functional is PBE-GGA.

Summary:
Final energy, eV/atom: -6.0367
DOS(E_F), states/eV/atom: 0.8663
Energy of formation, eV per atom: -0.4595

Cell lengths 7.6082, 7.6082, 8.7333 Å; angles 115.82, 115.82, 90.00 degrees
Closest atoms and distances in Å follow each position.
Sites, in units of the cell vectors:
Pb  0.2500  0.2500  0.5000  10 Tm 3.31-3.44
Tm  0.2883  0.7883  0.2596  3 Ru 2.80-2.90
Pb  0.7500  0.7500  0.5000  10 Tm 3.31-3.44
Ru  0.6413  0.1413  0.0000  8 Tm 2.80-2.93, 1 Ru 3.04
Tm  0.4713  0.2883  0.2596  3 Ru 2.80-2.90
Tm  0.0287  0.5287  0.7404  3 Ru 2.80-2.90
Tm  0.0000  0.0000  0.0000  4 Ru 2.93
Ru  0.1413  0.3587  0.0000  8 Tm 2.80-2.93, 1 Ru 3.04
Tm  0.5287  0.7117  0.7404  3 Ru 2.80-2.90
Tm  0.5000  0.5000  0.0000  4 Ru 2.93
Tm  0.9713  0.4713  0.2596  3 Ru 2.80-2.90
Ru  0.3587  0.8587  0.0000  8 Tm 2.80-2.93, 1 Ru 3.04
Ru  0.8587  0.6413  0.0000  8 Tm 2.80-2.93, 1 Ru 3.04
Tm  0.7117  0.2117  0.7404  3 Ru 2.80-2.90
Tm  0.2117  0.0287  0.7404  3 Ru 2.80-2.90
Tm  0.7883  0.9713  0.2596  3 Ru 2.80-2.90

Record 2
This record from Alexandria via LeMat-Bulk describes Tm5Ru4Pb after structural relaxation. The functional is PBE-GGA.

Summary:
Final energy, eV/atom: -6.7784
DOS(E_F), states/eV/atom: 0.6487
Energy of formation, eV per atom: -0.4615

Cell lengths 3.3791, 3.3791, 18.0898 Å; angles 90.00, 90.00, 90.00 degrees
Closest atoms and distances in Å follow each position.
Sites, in units of the cell vectors:
Tm  0.5000  0.5000  0.1333  4 Ru 2.86
Pb  0.0000  0.0000  0.0000  4 Pb 3.38, 8 Tm 3.40
Tm  0.5000  0.5000  0.5000  8 Ru 2.92
Ru  0.0000  0.0000  0.5927  8 Tm 2.90-2.92
Ru  0.0000  0.0000  0.7803  8 Tm 2.86-2.96
Tm  0.5000  0.5000  0.3166  8 Ru 2.90-2.96
Tm  0.5000  0.5000  0.6834  8 Ru 2.90-2.96
Ru  0.0000  0.0000  0.4073  8 Tm 2.90-2.92
Ru  0.0000  0.0000  0.2197  8 Tm 2.86-2.96
Tm  0.5000  0.5000  0.8667  4 Ru 2.86

Record 3
This record from Alexandria via LeMat-Bulk describes Tm3RuPb after structural relaxation. The functional is PBE-GGA.

Summary:
Final energy, eV/atom: -5.5209
DOS(E_F), states/eV/atom: 0.6047
Distance to the lowest polymorph of the same formula, meV per atom: 174
Energy of formation, eV per atom: -0.2411

Cell lengths 5.2441, 5.2441, 5.2441 Å; angles 90.00, 90.00, 90.00 degrees
Closest atoms and distances in Å follow each position.
Sites, in units of the cell vectors:
Tm  0.0000  0.5000  0.0000  2 Ru 2.62
Tm  0.0000  0.0000  0.5000  2 Ru 2.62
Ru  0.0000  0.0000  0.0000  6 Tm 2.62
Pb  0.5000  0.5000  0.5000  12 Tm 3.71
Tm  0.5000  0.0000  0.0000  2 Ru 2.62

Record 4
This record from Alexandria via LeMat-Bulk describes Tm7Ru2Pb2 after structural relaxation. The functional is PBE-GGA.

Summary:
Final energy, eV/atom: -5.4889
DOS(E_F), states/eV/atom: 0.7798
Distance to the lowest polymorph of the same formula, meV per atom: 116
Energy of formation, eV per atom: -0.2827

Cell lengths 6.7014, 7.2374, 6.7014 Å; angles 90.00, 105.21, 90.00 degrees
Closest atoms and distances in Å follow each position.
Sites, in units of the cell vectors:
Tm  0.5000  0.7601  0.0000  2 Ru 2.70
Tm  0.0000  0.2399  0.5000  2 Ru 2.70
Tm  0.5000  0.2246  0.5000  2 Ru 2.80
Pb  0.8082  0.5000  0.8082  1 Pb 3.12, 6 Tm 3.20-3.29
Pb  0.1918  0.5000  0.1918  1 Pb 3.12, 6 Tm 3.20-3.29
Ru  0.2863  0.0000  0.7137  6 Tm 2.70-2.80
Tm  0.0000  0.0000  0.0000  2 Ru 3.05
Tm  0.5000  0.7754  0.5000  2 Ru 2.80
Tm  0.0000  0.7601  0.5000  2 Ru 2.70
Ru  0.7137  0.0000  0.2863  6 Tm 2.70-2.80
Tm  0.5000  0.2399  0.0000  2 Ru 2.70

Record 5
This record from Alexandria via LeMat-Bulk describes Tm4Ru2Pb after structural relaxation. The functional is PBE-GGA.

Summary:
Final energy, eV/atom: -6.0696
DOS(E_F), states/eV/atom: 0.7203
Distance to the lowest polymorph of the same formula, meV per atom: 87
Energy of formation, eV per atom: -0.3345

Cell lengths 5.0250, 5.0250, 14.8955 Å; angles 90.00, 90.00, 120.04 degrees
Closest atoms and distances in Å follow each position.
Sites, in units of the cell vectors:
Ru  0.1664  0.8336  0.0610  2 Tm 2.69-2.81
Ru  0.1664  0.8336  0.4390  2 Tm 2.69-2.81
Ru  0.8336  0.1664  0.5610  2 Tm 2.69-2.81
Tm  0.5000  0.5000  0.0000  6 Ru 3.04, 2 Tm 3.40
Tm  0.1671  0.8329  0.6196  1 Ru 2.69
Pb  0.5007  0.4993  0.7500  3 Tm 2.90
Pb  0.4993  0.5007  0.2500  3 Tm 2.90
Tm  0.8340  0.1660  0.7500  2 Ru 2.81, 3 Pb 2.90
Tm  0.1671  0.8329  0.8804  1 Ru 2.69
Tm  0.1660  0.8340  0.2500  2 Ru 2.81, 3 Pb 2.90
Tm  0.8329  0.1671  0.1196  1 Ru 2.69
Ru  0.8336  0.1664  0.9390  2 Tm 2.69-2.81
Tm  0.8329  0.1671  0.3804  1 Ru 2.69
Tm  0.5000  0.5000  0.5000  6 Ru 3.04, 2 Tm 3.40

Record 6
This record from Alexandria via LeMat-Bulk describes Tm7Ru2Pb2 after structural relaxation. The functional is PBE-GGA.

Summary:
Final energy, eV/atom: -5.6053
DOS(E_F), states/eV/atom: 0.7848
Distance to the lowest polymorph of the same formula, meV per atom: 0
Energy of formation, eV per atom: -0.3990

Cell lengths 3.6746, 9.6788, 9.6788 Å; angles 59.93, 79.06, 79.06 degrees
Closest atoms and distances in Å follow each position.
Sites, in units of the cell vectors:
Tm  0.3671  0.7272  0.5386  2 Ru 2.75
Ru  0.7419  0.8540  0.6622  6 Tm 2.75-2.81
Ru  0.2581  0.3378  0.1460  6 Tm 2.75-2.81
Tm  0.8451  0.4106  0.8992  2 Ru 2.79
Tm  0.1832  0.7167  0.9169  2 Ru 2.81
Pb  0.0000  0.7680  0.2320  8 Tm 3.19-3.31
Tm  0.8168  0.0831  0.2833  2 Ru 2.81
Tm  0.5000  0.0375  0.9625  3 Pb 3.09-3.19
Pb  0.5000  0.3569  0.6431  7 Tm 3.09-3.28
Tm  0.1549  0.1008  0.5894  2 Ru 2.79
Tm  0.6329  0.4614  0.2728  2 Ru 2.75

Record 7
This record from Alexandria via LeMat-Bulk describes Tm8Ru2Pb after structural relaxation. The functional is PBE-GGA.

Summary:
Final energy, eV/atom: -5.5413
DOS(E_F), states/eV/atom: 0.7726
Energy of formation, eV per atom: -0.2656

Cell lengths 5.2072, 6.9003, 8.9923 Å; angles 112.47, 106.85, 89.99 degrees
Closest atoms and distances in Å follow each position.
Sites, in units of the cell vectors:
Tm  0.7468  0.9262  0.1303  1 Ru 2.69
Tm  0.5272  0.7034  0.6907  1 Ru 2.69
Tm  0.3077  0.3574  0.2515  3 Ru 2.96-3.18, 1 Pb 3.05, 3 Tm 3.20-3.22
Ru  0.4645  0.2779  0.5646  6 Tm 2.69-3.00
Tm  0.6351  0.2800  0.9067  2 Ru 2.94-2.96, 2 Tm 3.18
Pb  0.1360  0.9815  0.9084  9 Tm 3.01-3.34
Tm  0.1372  0.5470  0.9112  1 Pb 3.01, 2 Tm 3.18
Tm  0.3497  0.8555  0.3359  3 Ru 2.79-3.00
Tm  0.9648  0.0172  0.5661  3 Ru 2.99-3.17, 1 Pb 3.05, 3 Tm 3.19-3.22
Ru  0.8068  0.6210  0.2506  6 Tm 2.69-3.00
Tm  0.9241  0.4328  0.4839  3 Ru 2.79-3.00

Record 8
This record from Alexandria via LeMat-Bulk describes Tm6RuPb after structural relaxation. The functional is PBE-GGA.

Summary:
Final energy, eV/atom: -5.0280
DOS(E_F), states/eV/atom: 0.9667
Energy of formation, eV per atom: -0.0513

Cell lengths 6.7324, 6.7388, 7.5509 Å; angles 63.51, 63.56, 60.02 degrees
Closest atoms and distances in Å follow each position.
Sites, in units of the cell vectors:
Pb  0.5000  0.5000  0.5000  6 Tm 3.05
Tm  0.0348  0.4168  0.7611  1 Ru 2.64
Tm  0.4165  0.7868  0.7613  1 Ru 2.64
Tm  0.2137  0.9654  0.2384  1 Ru 2.64
Tm  0.5835  0.2132  0.2387  1 Ru 2.64
Ru  0.0000  0.0000  0.0000  6 Tm 2.64
Tm  0.7863  0.0346  0.7616  1 Ru 2.64
Tm  0.9652  0.5832  0.2389  1 Ru 2.64

Record 9
This record from Alexandria via LeMat-Bulk describes Tm3RuPb after structural relaxation. The functional is PBE-GGA.

Summary:
Final energy, eV/atom: -5.6299
DOS(E_F), states/eV/atom: 0.8315
Distance to the lowest polymorph of the same formula, meV per atom: 65
Energy of formation, eV per atom: -0.3502

Cell lengths 6.8215, 9.0498, 9.0498 Å; angles 73.73, 90.00, 90.00 degrees
Closest atoms and distances in Å follow each position.
Sites, in units of the cell vectors:
Tm  0.3905  0.4453  0.3285  2 Ru 2.74
Tm  0.6095  0.5547  0.6715  2 Ru 2.74
Tm  0.8905  0.3285  0.4453  2 Ru 2.74
Tm  0.8907  0.0552  0.1714  2 Ru 2.74
Tm  0.3907  0.1714  0.0552  2 Ru 2.74
Pb  0.2500  0.8006  0.1994  8 Tm 3.24-3.63, 2 Pb 3.58
Tm  0.7700  0.4445  0.0559  3 Ru 2.81-2.94
Pb  0.7500  0.6997  0.3003  8 Tm 3.24-3.62, 2 Pb 3.58
Ru  0.3866  0.7952  0.7044  7 Tm 2.74-2.94
Pb  0.2500  0.3003  0.6997  8 Tm 3.24-3.62, 2 Pb 3.58
Pb  0.7500  0.1994  0.8006  8 Tm 3.24-3.63, 2 Pb 3.58
Tm  0.1093  0.9448  0.8286  2 Ru 2.74
Tm  0.2300  0.5555  0.9441  3 Ru 2.81-2.94
Tm  0.1095  0.6715  0.5547  2 Ru 2.74
Tm  0.6093  0.8286  0.9448  2 Ru 2.74
Tm  0.2700  0.0559  0.4446  3 Ru 2.81-2.94
Ru  0.6134  0.2048  0.2956  7 Tm 2.74-2.94
Ru  0.1134  0.2956  0.2047  7 Tm 2.74-2.94
Tm  0.7300  0.9441  0.5554  3 Ru 2.81-2.94
Ru  0.8866  0.7044  0.7953  7 Tm 2.74-2.94

Record 10
This record from Alexandria via LeMat-Bulk describes Tm12RuPb6 after structural relaxation. The functional is PBE-GGA.

Summary:
Final energy, eV/atom: -4.7124
DOS(E_F), states/eV/atom: 0.9540
Energy of formation, eV per atom: -0.2291

Cell lengths 8.5136, 8.5136, 8.5136 Å; angles 99.30, 99.30, 99.30 degrees
Closest atoms and distances in Å follow each position.
Sites, in units of the cell vectors:
Pb  0.1188  0.6576  0.3216  7 Tm 3.08-3.31
Pb  0.3424  0.6784  0.8812  7 Tm 3.08-3.31
Tm  0.3133  0.0532  0.0022  1 Ru 2.63
Pb  0.6576  0.3216  0.1188  7 Tm 3.08-3.31
Pb  0.8812  0.3424  0.6784  7 Tm 3.08-3.31
Tm  0.0532  0.0022  0.3133  1 Ru 2.63
Pb  0.3216  0.1188  0.6576  7 Tm 3.08-3.31
Tm  0.4569  0.7954  0.5828  4 Pb 3.09-3.26
Tm  0.5828  0.4569  0.7954  4 Pb 3.09-3.26
Tm  0.9978  0.6867  0.9468  1 Ru 2.63
Tm  0.0022  0.3133  0.0532  1 Ru 2.63
Tm  0.2046  0.4172  0.5431  4 Pb 3.09-3.26
Tm  0.7954  0.5828  0.4569  4 Pb 3.09-3.26
Tm  0.6867  0.9468  0.9978  1 Ru 2.63
Tm  0.4172  0.5431  0.2046  4 Pb 3.09-3.26
Ru  0.0000  0.0000  0.0000  6 Tm 2.63
Tm  0.5431  0.2046  0.4172  4 Pb 3.09-3.26
Pb  0.6784  0.8812  0.3424  7 Tm 3.08-3.31
Tm  0.9468  0.9978  0.6867  1 Ru 2.63